Computed, not measured: a relaxed Y3CuS6 crystal at the PBE level of DFT.

Output
- final energy (eV/atom) = -6.299
- DOS(E_F) (states/eV/f.u.) = 6.949

a = 10.767 Å, b = 12.591 Å, c = 6.627 Å
α = 90.00°, β = 90.00°, γ = 90.00°
Space group Cmc2_1 (No. 36)
Asymmetric unit:
Y (0.000, 0.104, 0.000) (multiplicity 4)
Y (0.183, 0.401, 0.911) (multiplicity 8)
Cu (0.000, 0.298, 0.368) (multiplicity 4)
S (0.000, 0.288, 0.712) (multiplicity 4)
S (0.000, 0.462, 0.212) (multiplicity 4)
S (0.160, 0.031, 0.704) (multiplicity 8)
S (0.168, 0.239, 0.198) (multiplicity 8)

---

Computed, not measured: a relaxed TaIn2Cu2 crystal at the PBE level of DFT.

Output
- final energy (eV/atom) = -4.884
- DOS(E_F) (states/eV/f.u.) = 2.403

a = 7.505 Å, b = 7.505 Å, c = 3.044 Å
α = 90.00°, β = 90.00°, γ = 90.00°
Space group P4/mbm (No. 127)
Asymmetric unit:
Ta (0.000, 0.000, 0.000) (multiplicity 2)
In (0.180, 0.320, 0.500) (multiplicity 4)
Cu (0.119, 0.619, 0.000) (multiplicity 4)

---

Computed, not measured: a relaxed K3Np2MnS6 crystal at the PBE level of DFT.

Output
- final energy (eV/atom) = -6.488
- DOS(E_F) (states/eV/f.u.) = 16.734

a = 6.918 Å, b = 11.984 Å, c = 7.683 Å
α = 90.00°, β = 107.44°, γ = 90.00°
Space group C2/m (No. 12)
Asymmetric unit:
K (0.000, 0.000, 0.000) (multiplicity 2)
K (0.000, 0.335, 0.000) (multiplicity 4)
Np (0.000, 0.167, 0.500) (multiplicity 4)
Mn (0.000, 0.500, 0.500) (multiplicity 2)
S (0.229, 0.337, 0.697) (multiplicity 8)
S (0.239, 0.000, 0.696) (multiplicity 4)

---

Computed, not measured: a relaxed Pm4DyPb4 crystal at the PBE level of DFT.

Output
- final energy (eV/atom) = -4.571
- DOS(E_F) (states/eV/f.u.) = 7.331

a = 9.619 Å, b = 9.619 Å, c = 6.496 Å
α = 90.00°, β = 90.00°, γ = 90.00°
Space group P4_2/n (No. 86, origin choice 2)
Asymmetric unit:
Pm (0.029, 0.668, 0.124) (multiplicity 8)
Dy (0.250, 0.250, 0.250) (multiplicity 2)
Pb (0.029, 0.652, 0.617) (multiplicity 8)

---

Computed, not measured: a relaxed Zr2IrN crystal at the PBE level of DFT.

Output
- final energy (eV/atom) = -9.592
- DOS(E_F) (states/eV/f.u.) = 2.626

a = 3.2200 Å, b = 3.2200 Å, c = 20.9113 Å
α = 90.00°, β = 90.00°, γ = 120.00°
Space group R-3m (No. 166, hexagonal axes)
Asymmetric unit:
Zr (0.0000, 0.0000, 0.2304) (multiplicity 6)
Ir (0.0000, 0.0000, 0.0000) (multiplicity 3)
N (0.0000, 0.0000, 0.5000) (multiplicity 3)

---

Computed, not measured: a relaxed Ce2YHo crystal at the PBE level of DFT.

Output
- energy above the most stable polymorph in this dataset (eV/atom) = 0.004
- DOS(E_F) (states/eV/f.u.) = 10.304

a = 3.4932 Å, b = 3.4932 Å, c = 34.5772 Å
α = 90.00°, β = 90.00°, γ = 120.00°
Space group R3m (No. 160, hexagonal axes)
Asymmetric unit:
Ce (0.0000, 0.0000, 0.0000) (multiplicity 3)
Ce (0.0000, 0.0000, 0.1646) (multiplicity 3)
Y (0.0000, 0.0000, 0.5808) (multiplicity 3)
Ho (0.0000, 0.0000, 0.7499) (multiplicity 3)

---

Computed, not measured: a relaxed TmTi4Os5 crystal at the PBE level of DFT.

Output
- final energy (eV/atom) = -9.816
- DOS(E_F) (states/eV/f.u.) = 2.026

a = 3.126 Å, b = 3.126 Å, c = 15.958 Å
α = 90.00°, β = 90.00°, γ = 90.00°
Space group P4/mmm (No. 123)
Asymmetric unit:
Tm (0.000, 0.000, 0.000) (multiplicity 1)
Ti (0.000, 0.000, 0.208) (multiplicity 2)
Ti (0.000, 0.000, 0.403) (multiplicity 2)
Os (0.500, 0.500, 0.119) (multiplicity 2)
Os (0.500, 0.500, 0.309) (multiplicity 2)
Os (0.500, 0.500, 0.500) (multiplicity 1)

---

Computed, not measured: a relaxed Tb3Pm4Ag4 crystal at the PBE level of DFT.

Output
- final energy (eV/atom) = -4.129
- DOS(E_F) (states/eV/f.u.) = 12.805

a = 3.681 Å, b = 9.441 Å, c = 17.974 Å
α = 90.00°, β = 90.00°, γ = 90.00°
Space group Immm (No. 71)
Asymmetric unit:
Tb (0.000, 0.000, 0.000) (multiplicity 2)
Tb (0.000, 0.500, 0.101) (multiplicity 4)
Pm (0.000, 0.314, 0.340) (multiplicity 8)
Ag (0.000, 0.000, 0.261) (multiplicity 4)
Ag (0.000, 0.191, 0.500) (multiplicity 4)